Computed, not measured: an optimized crystal structure of Pr5SmY2Tm at the PBE-GGA level of DFT.

Cell and atoms, written as CIF:
```
data_Pr5SmY2Tm
_chemical_formula_sum 'Pr10 Sm2 Y4 Tm2'
_cell_length_a 10.287
_cell_length_b 10.287
_cell_length_c 10.287
_cell_angle_alpha 129.35
_cell_angle_beta 129.35
_cell_angle_gamma 74.45
_symmetry_space_group_name_H-M 'P 1'
_symmetry_Int_Tables_number 1
_symmetry_space_group_name_Hall 'P 1'
loop_
_atom_site_label
_atom_site_type_symbol
_atom_site_fract_x
_atom_site_fract_y
_atom_site_fract_z
Pr1 Pr 0.000 0.000 0.000
Pr2 Pr 0.069 0.569 0.923
Pr3 Pr 0.146 0.069 0.500
Pr4 Pr 0.354 0.854 0.923
Pr5 Pr 0.431 0.354 0.500
Pr6 Pr 0.500 0.500 0.000
Pr7 Pr 0.569 0.646 0.500
Pr8 Pr 0.646 0.146 0.077
Pr9 Pr 0.854 0.931 0.500
Pr10 Pr 0.931 0.431 0.077
Sm1 Sm 0.250 0.250 0.000
Sm2 Sm 0.750 0.750 0.000
Y1 Y 0.120 0.380 0.500
Y2 Y 0.380 0.880 0.260
Y3 Y 0.620 0.120 0.740
Y4 Y 0.880 0.620 0.500
Tm1 Tm 0.250 0.750 0.500
Tm2 Tm 0.750 0.250 0.500
```

Results
Final energy = -4.7983 eV/atom
Total moment = 0.00 μB/f.u.
DFT formation energy = 0.31 eV per atom